DFT (PBE-GGA) results for an optimized crystal structure of ZnBPd3.

The structure in CIF format:
```
data_ZnBPd3
_chemical_formula_sum 'Zn1 B1 Pd3'
_cell_length_a 4.5979
_cell_length_b 4.5979
_cell_length_c 4.5979
_cell_angle_alpha 90.00
_cell_angle_beta 90.00
_cell_angle_gamma 90.00
_symmetry_space_group_name_H-M 'P m -3 m'
_symmetry_Int_Tables_number 221
_symmetry_space_group_name_Hall '-P 4 2 3'
loop_
_atom_site_label
_atom_site_type_symbol
_atom_site_fract_x
_atom_site_fract_y
_atom_site_fract_z
Zn1 Zn 0.0000 0.0000 0.0000
B1 B 0.5000 0.5000 0.5000
Pd1 Pd 0.0000 0.0000 0.5000
```

Output
ΔE_f	1.336	eV/atom
magnetization	0.0	μB/cell
electronic total energy	-3.370	eV per atom